First-principles (PBE) data for a relaxed TcMoHIr2 crystal, as listed in Alexandria via LeMat-Bulk.

abc: 3.8979 3.8979 4.0276
angles: 90.00 90.00 90.00
With the nearest neighbours (Å) after each atom.
Fractional coordinates of all 5 atoms:
Tc (0.0000, 0.0000, 0.5000)  2 H 2.01
Ir (0.5000, 0.0000, 0.0000)  2 H 1.95
Ir (0.0000, 0.5000, 0.0000)  2 H 1.95
Mo (0.5000, 0.5000, 0.5000)  4 Tc 2.76, 8 Ir 2.80
H (0.0000, 0.0000, 0.0000)  4 Ir 1.95, 2 Tc 2.01

Properties
- density of states at the Fermi level (states/eV/atom) = 0.4266
- energy relative to the lowest polymorph listed for this composition (meV/atom) = 0
- SG = No. 123



First-principles (PBE) data for a relaxed TcMo2HIr crystal, as listed in Alexandria via LeMat-Bulk.

abc: 3.9950 3.9950 3.9161
angles: 90.00 90.00 90.00
With the nearest neighbours (Å) after each atom.
Fractional coordinates of all 5 atoms:
Tc (0.0000, 0.0000, 0.5000)  2 H 1.96
Ir (0.5000, 0.5000, 0.5000)  8 Mo 2.80, 4 Tc 2.82
Mo (0.5000, 0.0000, 0.0000)  2 H 2.00
Mo (0.0000, 0.5000, 0.0000)  2 H 2.00
H (0.0000, 0.0000, 0.0000)  2 Tc 1.96, 4 Mo 2.00

Properties
- density of states at the Fermi level (states/eV/atom) = 0.7687
- energy relative to the lowest polymorph listed for this composition (meV/atom) = 0
- SG = No. 123



First-principles (PBE) data for a relaxed TcMoHIr2 crystal, as listed in Alexandria via LeMat-Bulk.

abc: 3.8876 3.8876 4.0551
angles: 90.00 90.00 90.00
With the nearest neighbours (Å) after each atom.
Fractional coordinates of all 5 atoms:
Tc (0.5000, 0.5000, 0.5000)  4 Mo 2.75, 8 Ir 2.81
Mo (0.0000, 0.0000, 0.5000)  2 H 2.03
Ir (0.5000, 0.0000, 0.0000)  2 H 1.94
Ir (0.0000, 0.5000, 0.0000)  2 H 1.94
H (0.0000, 0.0000, 0.0000)  4 Ir 1.94, 2 Mo 2.03

Properties
- density of states at the Fermi level (states/eV/atom) = 0.6311
- energy relative to the lowest polymorph listed for this composition (meV/atom) = 34
- SG = No. 123